Compound: Cs2K5Na5
Source: Alexandria via LeMat-Bulk
Functional: PBE-GGA
Structure: relaxed

The structure belongs to space group Pmmm (No. 47); the cell edges are 6.783, 7.970 and 14.568 Å and the angles 90.00°, 90.00° and 90.00°. Symmetry generates all atoms from Cs at (0.000, 0.000, 0.000), Cs at (0.000, 0.500, 0.500), K at (0.000, 0.000, 0.319), K at (0.000, 0.500, 0.166), K at (0.500, 0.000, 0.500), Na at (0.500, 0.248, 0.231) and Na at (0.500, 0.500, 0.000).

The value obtained for the energy of formation from the pure elements is 48 meV/atom. The calculation puts the total energy at -1.101 eV per atom. The calculated volume is 65.6 A^3/atom. As for the size of the total moment: 0.00 μB/cell. For the excess energy over the best structure of this formula in the dataset, the calculation gives 0.0098 eV/atom.